1.
First-principles (PBE-GGA) data for an optimized crystal structure of PrNd2TmS4, as listed in Alexandria via LeMat-Bulk.

abc: 6.9819 3.9695 7.0336
angles: 90.00 108.75 90.00
Closest atoms and distances in Å follow each position.
Fractional positions:
Pr (0.0000, 0.0000, 0.0000)  6 S 2.86
Nd (0.5000, 0.0000, 0.5000)  6 S 2.83-2.84
Nd (0.5000, 0.5000, 0.0000)  6 S 2.94
Tm (0.0000, 0.5000, 0.5000)  6 S 2.76
S (0.2351, 0.0000, 0.7331)  2 Tm 2.76, 3 Nd 2.84-2.94, 1 Pr 2.86
S (0.2441, 0.5000, 0.2603)  1 Tm 2.76, 3 Nd 2.83-2.94, 2 Pr 2.86
S (0.7559, 0.5000, 0.7397)  1 Tm 2.76, 3 Nd 2.83-2.94, 2 Pr 2.86
S (0.7649, 0.0000, 0.2669)  2 Tm 2.76, 3 Nd 2.84-2.94, 1 Pr 2.86

Summary:
- symmetry = P2/m
- total magnetization (μB/f.u.) = 0.000
- D(E_F) (states/eV/atom) = 0.5623
- energy relative to the elements, uncorrected (eV/f.u.) = -15.93

2.
First-principles (PBE-GGA) data for an optimized crystal structure of Pr4Nd3YS8, as listed in Alexandria via LeMat-Bulk.

abc: 8.1502 8.1502 8.1502
angles: 59.87 59.87 59.87
Closest atoms and distances in Å follow each position.
Fractional positions:
Pr (0.0000, 0.0000, 0.0000)  6 S 2.95
Pr (0.0000, 0.5000, 0.5000)  6 S 2.89
Pr (0.5000, 0.0000, 0.5000)  6 S 2.89
Pr (0.5000, 0.5000, 0.0000)  6 S 2.89
Nd (0.0000, 0.0000, 0.5000)  6 S 2.87
Nd (0.0000, 0.5000, 0.0000)  6 S 2.87
Nd (0.5000, 0.0000, 0.0000)  6 S 2.87
Y (0.5000, 0.5000, 0.5000)  6 S 2.80
S (0.2489, 0.2489, 0.2489)  3 Nd 2.87, 3 Pr 2.89
S (0.2544, 0.7434, 0.7434)  1 Y 2.80, 2 Nd 2.87, 3 Pr 2.89-2.95
S (0.2566, 0.2566, 0.7456)  1 Y 2.80, 2 Nd 2.87, 3 Pr 2.89-2.95
S (0.2566, 0.7456, 0.2566)  1 Y 2.80, 2 Nd 2.87, 3 Pr 2.89-2.95
S (0.7434, 0.2544, 0.7434)  1 Y 2.80, 2 Nd 2.87, 3 Pr 2.89-2.95
S (0.7434, 0.7434, 0.2544)  1 Y 2.80, 2 Nd 2.87, 3 Pr 2.89-2.95
S (0.7456, 0.2566, 0.2566)  1 Y 2.80, 2 Nd 2.87, 3 Pr 2.89-2.95
S (0.7511, 0.7511, 0.7511)  3 Nd 2.87, 3 Pr 2.89

Summary:
- symmetry = R-3m
- total magnetization (μB/f.u.) = 0.000
- D(E_F) (states/eV/atom) = 0.5462
- energy relative to the elements, uncorrected (eV/f.u.) = -32.23